KInSn2S6: relaxed, PBE.

The space group is C2/c (No. 15) and the conventional cell measures 14.1384, 12.4809 and 7.2603 Å, with angles of 90.00, 115.80 and 90.00 degrees. The inequivalent atoms are K at (0.0000, 0.1879, 0.2500), In at (0.0000, 0.3364, 0.7500), Sn at (0.2175, 0.0889, 0.8390), S at (0.1006, 0.4281, 0.0881), S at (0.1241, 0.0322, 0.0358) and S at (0.1519, 0.2643, 0.6967).

The electronic total energy is -4.22 eV per atom. As for the crystal system: monoclinic.